1.
## CeNb2Se3 (PBE-GGA)

Data for a relaxed structure of CeNb2Se3.

Calculated values
* energy relative to the elements, uncorrected: -0.74 eV/atom
* spin magnetization: 0.96 μB per formula unit
* symmetry: No. 12

Geometry as POSCAR:
```
CeNb2Se3
1.0
10.016 -1.781 0.000
10.016 1.781 0.000
-1.294 0.000 7.371
Ce Nb Se
2 4 6
Cartesian
2.702 0.000 3.545 Ce
16.036 0.000 3.826 Ce
2.356 0.000 7.112 Nb
8.409 0.000 4.690 Nb
10.328 0.000 2.682 Nb
16.381 0.000 0.259 Nb
1.168 0.000 1.038 Se
4.585 0.000 5.792 Se
7.700 0.000 2.007 Se
11.037 0.000 5.364 Se
14.153 0.000 1.580 Se
17.569 0.000 6.333 Se
```

=====

2.
## Ce2NbSi (PBE-GGA)

Data for a relaxed structure of Ce2NbSi.

Calculated values
* E above lowest polymorph: 450.6 meV per atom
* energy relative to the elements, uncorrected: 0.23 eV/atom
* spin magnetization: 0.00 μB per formula unit
* symmetry: No. 166

Geometry as POSCAR:
```
Ce2NbSi
1.0
1.519 0.877 10.725
-1.519 0.877 10.725
0.000 -1.754 10.725
Ce Nb Si
2 1 1
Cartesian
0.000 0.000 2.850 Ce
0.000 0.000 29.325 Ce
0.000 0.000 0.000 Nb
0.000 0.000 16.088 Si
```

=====

3.
## Ce5NbSi4 (PBE-GGA)

Data for a relaxed structure of Ce5NbSi4.

Calculated values
* energy relative to the elements, uncorrected: -0.27 eV/atom
* spin magnetization: 3.08 μB per formula unit
* symmetry: No. 12

Geometry as POSCAR:
```
Ce5NbSi4
1.0
8.623 -1.956 0.000
8.623 1.956 0.000
-1.638 0.000 7.559
Ce Nb Si
5 1 4
Cartesian
0.000 0.000 0.000 Ce
4.517 0.000 5.118 Ce
5.562 0.000 1.070 Ce
10.047 0.000 6.489 Ce
11.091 0.000 2.441 Ce
-0.819 0.000 3.779 Nb
1.715 0.000 4.408 Si
7.378 0.000 5.473 Si
8.231 0.000 2.086 Si
13.893 0.000 3.150 Si
```

=====

4.
## Ce2Nb3Si4 (PBE-GGA)

Data for a relaxed structure of Ce2Nb3Si4.

Calculated values
* energy relative to the elements, uncorrected: -0.75 eV/atom
* spin magnetization: 0.32 μB per formula unit
* symmetry: No. 14

Geometry as POSCAR:
```
Ce2Nb3Si4
1.0
7.122 0.000 0.000
0.000 7.126 0.000
-2.290 0.000 6.605
Ce Nb Si
4 6 8
Cartesian
1.182 1.192 0.430 Ce
0.037 2.371 3.732 Ce
4.795 4.755 2.873 Ce
3.651 5.934 6.176 Ce
1.247 4.793 1.643 Nb
0.102 5.896 4.946 Nb
2.416 0.000 3.303 Nb
3.561 3.563 0.000 Nb
4.730 1.230 1.659 Nb
3.585 2.333 4.962 Nb
-1.379 3.855 5.749 Si
-0.235 6.834 2.446 Si
1.544 0.903 5.755 Si
2.689 2.660 2.453 Si
2.144 4.466 4.153 Si
3.288 6.223 0.850 Si
5.067 0.292 4.160 Si
6.212 3.271 0.857 Si
```